# 1
A plane-wave DFT calculation with PBE was carried out for crystalline CsGe2SbAu4 at its relaxed geometry.

extended XYZ file:
```
8
Lattice="4.523 0.000 0.000 0.000 4.523 0.000 0.000 0.000 10.492" Properties=species:S:1:pos:R:3 pbc="T T T"
Sb 0.000 0.000 0.000
Ge 2.261 2.261 7.416
Ge 2.261 2.261 3.075
Au 2.261 0.000 1.798
Au 0.000 2.261 1.798
Au 0.000 2.261 8.693
Au 2.261 0.000 8.693
Cs 0.000 0.000 5.246
```

Values from the calculation:
formation energy from raw total energies	-0.084	eV per atom
size of the total moment	0.000	μB per atom
SG	P4/mmm (123)
electronic total energy	-3.499	eV per atom

---

# 2
A plane-wave DFT calculation with PBE was carried out for crystalline MgOs2Pt at its relaxed geometry.

extended XYZ file:
```
4
Lattice="-4.683 1.361 -0.627 -1.990 -1.710 -4.158 2.518 -2.043 3.696" Properties=species:S:1:pos:R:3 pbc="T T T"
Mg -2.751 -0.428 0.339
Os -3.336 -0.175 -2.392
Os 0.000 0.000 0.000
Pt -1.405 -1.964 -1.427
```

Values from the calculation:
size of the total moment	0.000	μB per atom
SG	I4/mmm (139)
electronic total energy	-7.365	eV per atom

---

# 3
A plane-wave DFT calculation with PBE was carried out for crystalline LiCa2TaPt at its relaxed geometry.

extended XYZ file:
```
5
Lattice="5.716 0.000 0.000 0.000 4.853 0.000 0.000 0.000 5.716" Properties=species:S:1:pos:R:3 pbc="T T T"
Pt 0.000 2.427 0.000
Ca 0.000 0.000 2.858
Ca 2.858 0.000 0.000
Li 2.858 2.427 2.858
Ta 0.000 0.000 0.000
```

Values from the calculation:
size of the total moment	0.000	μB per atom
SG	P4/mmm (123)
electronic total energy	-4.167	eV per atom

---

# 4
A plane-wave DFT calculation with PBE was carried out for crystalline SrAgN at its relaxed geometry.

extended XYZ file:
```
6
Lattice="-1.834 -4.224 1.398 4.653 -2.310 -0.876 1.565 1.522 4.299" Properties=species:S:1:pos:R:3 pbc="T T T"
Sr 0.420 -2.540 4.262
Sr 0.551 -1.187 1.413
Ag 2.030 -3.779 0.249
Ag 3.729 -0.907 1.700
N 0.621 -3.789 1.927
N 5.003 -2.248 2.872
```

Values from the calculation:
formation energy from raw total energies	-0.082	eV per atom
size of the total moment	0.000	μB per atom
SG	Cmme (67)
electronic total energy	-4.368	eV per atom

---

# 5
A plane-wave DFT calculation with PBE was carried out for crystalline PmNd4Hg5 at its relaxed geometry.

extended XYZ file:
```
10
Lattice="3.838 0.000 0.000 0.000 3.838 0.000 0.000 0.000 19.121" Properties=species:S:1:pos:R:3 pbc="T T T"
Hg 1.919 1.919 5.729
Hg 1.919 1.919 13.392
Hg 1.919 1.919 17.244
Hg 1.919 1.919 9.560
Hg 1.919 1.919 1.877
Pm 0.000 0.000 0.000
Nd 0.000 0.000 15.313
Nd 0.000 0.000 7.643
Nd 0.000 0.000 11.478
Nd 0.000 0.000 3.808
```

Values from the calculation:
size of the total moment	0.225	μB per atom
SG	P4/mmm (123)
electronic total energy	-3.006	eV per atom

---

# 6
A plane-wave DFT calculation with PBE was carried out for crystalline Cs4Mn3Cl10 at its relaxed geometry.

extended XYZ file:
```
17
Lattice="-2.079 -1.626 -4.452 2.163 -4.651 0.689 -15.377 -2.621 11.146" Properties=species:S:1:pos:R:3 pbc="T T T"
Cl 1.081 -2.325 0.344
Cl -2.093 -0.786 1.265
Cl -1.039 -0.813 -2.226
Cl -10.080 -6.517 7.088
Cl -5.213 -2.381 0.295
Cl -13.200 -8.112 6.119
Cl -9.036 -6.548 3.603
Cl -6.257 -2.350 3.780
Cl -3.092 -3.893 2.866
Cl -12.201 -5.005 4.517
Cs -9.179 -3.447 5.546
Cs -2.028 -3.916 -0.631
Cs -13.265 -4.982 8.014
Cs -6.114 -5.450 1.838
Mn -4.221 -1.585 2.550
Mn 0.000 0.000 0.000
Mn -11.072 -7.313 4.833
```

Values from the calculation:
formation energy from raw total energies	-1.538	eV per atom
size of the total moment	0.882	μB per atom
SG	I4/mmm (139)
electronic total energy	-4.443	eV per atom

---

# 7
A plane-wave DFT calculation with PBE was carried out for crystalline CaPd2Rh at its relaxed geometry.

extended XYZ file:
```
8
Lattice="-1.405 -0.973 -3.585 -3.562 -0.734 1.596 -5.011 8.212 -2.465" Properties=species:S:1:pos:R:3 pbc="T T T"
Rh 0.000 0.000 0.000
Rh -4.450 3.193 -3.522
Ca -2.484 -0.854 -0.995
Ca -5.529 3.312 -0.932
Pd -2.604 1.334 -2.727
Pd -8.174 4.651 -3.558
Pd -3.628 1.491 0.003
Pd -5.552 5.533 -2.626
```

Values from the calculation:
size of the total moment	0.000	μB per atom
SG	I-42d (122)
electronic total energy	-4.924	eV per atom

---

# 8
A plane-wave DFT calculation with PBE was carried out for crystalline ZnSb2Se at its relaxed geometry.

extended XYZ file:
```
4
Lattice="4.019 0.000 0.000 0.000 5.088 0.020 0.000 1.458 4.873" Properties=species:S:1:pos:R:3 pbc="T T T"
Zn 2.010 4.910 3.670
Sb 0.000 6.448 4.820
Sb 0.000 3.372 2.519
Se 2.010 1.637 1.223
```

Values from the calculation:
formation energy from raw total energies	0.019	eV per atom
size of the total moment	0.000	μB per atom
SG	Cmmm (65)
electronic total energy	-3.232	eV per atom

---

# 9
A plane-wave DFT calculation with PBE was carried out for crystalline AlGeAu at its relaxed geometry.

extended XYZ file:
```
12
Lattice="6.309 0.000 0.000 0.000 2.934 0.000 0.000 0.000 12.047" Properties=species:S:1:pos:R:3 pbc="T T T"
Ge 4.607 0.733 0.503
Ge 1.702 2.200 11.545
Ge 1.452 0.733 5.521
Ge 4.857 2.200 6.526
Al 2.544 0.733 2.101
Al 5.699 0.733 3.922
Al 3.765 2.200 9.946
Al 0.610 2.200 8.125
Au 0.344 2.200 1.914
Au 2.811 0.733 7.937
Au 5.966 0.733 10.134
Au 3.498 2.200 4.110
```

Values from the calculation:
size of the total moment	0.000	μB per atom
SG	Pnma (62)
electronic total energy	-3.920	eV per atom

---

# 10
A plane-wave DFT calculation with PBE was carried out for crystalline NdTmCuAg at its relaxed geometry.

extended XYZ file:
```
4
Lattice="-0.941 -3.401 0.314 3.414 -0.946 -0.014 0.203 0.622 7.334" Properties=species:S:1:pos:R:3 pbc="T T T"
Nd 0.171 0.525 6.187
Tm 0.075 0.231 2.722
Ag 1.263 -2.091 1.121
Cu 1.354 -1.812 4.410
```

Values from the calculation:
size of the total moment	0.000	μB per atom
SG	P4mm (99)
electronic total energy	-4.306	eV per atom